(1)
{
  "formula": "TiSIO2",
  "functional": "GGA-PBEsol",
  "state": "optimized geometry",
  "e_tot_ev_per_fu": -30.78,
  "cell": [[3.786, 0.000, 0.000], [0.000, 3.786, 0.000], [0.000, 0.000, 6.062]],
  "species": ["Ti", "S", "I", "O", "O"],
  "fractional_positions": [[0.000, 0.000, 0.000], [0.500, 0.500, 0.500], [0.000, 0.000, 0.500], [0.000, 0.500, 0.000], [0.500, 0.000, 0.000]]
}


(2)
{
  "formula": "TiSIO2",
  "functional": "GGA-PBEsol",
  "state": "optimized geometry",
  "e_tot_ev_per_fu": -24.02,
  "cell": [[3.809, 0.000, 0.000], [0.000, 3.809, 0.000], [0.000, 0.000, 5.378]],
  "species": ["Ti", "S", "I", "O", "O"],
  "fractional_positions": [[0.000, 0.000, 0.000], [0.500, 0.500, 0.500], [0.500, 0.500, 0.000], [0.000, 0.500, 0.500], [0.500, 0.000, 0.500]]
}


(3)
{
  "formula": "ZnSIO2",
  "functional": "GGA-PBEsol",
  "state": "optimized geometry",
  "e_tot_ev_per_fu": -17.63,
  "cell": [[3.697, 0.000, 0.000], [0.000, 3.697, 0.000], [0.000, 0.000, 6.806]],
  "species": ["Zn", "S", "I", "O", "O"],
  "fractional_positions": [[0.000, 0.000, 0.000], [0.500, 0.500, 0.500], [0.500, 0.500, 0.000], [0.000, 0.500, 0.500], [0.500, 0.000, 0.500]]
}


(4)
{
  "formula": "Sb4IO6",
  "functional": "GGA-PBEsol",
  "state": "optimized geometry",
  "e_tot_ev_per_fu": -64.36,
  "cell": [[9.452, -2.040, 0.000], [9.452, 2.040, 0.000], [-3.738, 0.000, 10.518]],
  "species": ["Sb", "Sb", "Sb", "Sb", "Sb", "Sb", "Sb", "Sb", "I", "I", "O", "O", "O", "O", "O", "O", "O", "O", "O", "O", "O", "O"],
  "fractional_positions": [[0.006, 0.006, 0.231], [0.191, 0.191, 0.823], [0.230, 0.230, 0.342], [0.418, 0.418, 0.517], [0.582, 0.582, 0.483], [0.770, 0.770, 0.658], [0.809, 0.809, 0.177], [0.994, 0.994, 0.769], [0.366, 0.366, 0.983], [0.634, 0.634, 0.017], [0.073, 0.073, 0.417], [0.085, 0.085, 0.715], [0.232, 0.232, 0.678], [0.295, 0.295, 0.222], [0.311, 0.311, 0.512], [0.469, 0.469, 0.710], [0.531, 0.531, 0.290], [0.689, 0.689, 0.488], [0.705, 0.705, 0.778], [0.768, 0.768, 0.322], [0.915, 0.915, 0.285], [0.927, 0.927, 0.583]]
}


(5)
{
  "formula": "Sb5IO7",
  "functional": "GGA-PBEsol",
  "state": "optimized geometry",
  "relative_energy_kj_per_mol_atoms": 0.19,
  "e_tot_ev_per_fu": -77.21,
  "cell": [[11.335, 0.000, 0.000], [0.000, 12.593, 0.000], [0.000, 0.000, 6.677]],
  "species": ["Sb", "Sb", "Sb", "Sb", "Sb", "Sb", "Sb", "Sb", "Sb", "Sb", "Sb", "Sb", "Sb", "Sb", "Sb", "Sb", "Sb", "Sb", "Sb", "Sb", "I", "I", "I", "I", "O", "O", "O", "O", "O", "O", "O", "O", "O", "O", "O", "O", "O", "O", "O", "O", "O", "O", "O", "O", "O", "O", "O", "O", "O", "O", "O", "O"],
  "fractional_positions": [[0.002, 0.244, 0.000], [0.151, 0.217, 0.523], [0.169, 0.532, 0.832], [0.185, 0.755, 0.489], [0.189, 0.944, 0.845], [0.311, 0.444, 0.345], [0.315, 0.255, 0.989], [0.331, 0.032, 0.332], [0.349, 0.717, 0.023], [0.498, 0.744, 0.500], [0.502, 0.256, 0.500], [0.651, 0.283, 0.023], [0.669, 0.968, 0.332], [0.685, 0.745, 0.989], [0.689, 0.556, 0.345], [0.811, 0.056, 0.845], [0.815, 0.245, 0.489], [0.831, 0.468, 0.832], [0.849, 0.783, 0.523], [0.998, 0.756, 0.000], [0.000, 0.000, 0.274], [0.000, 0.500, 0.393], [0.500, 0.000, 0.893], [0.500, 0.500, 0.774], [0.024, 0.618, 0.863], [0.049, 0.850, 0.766], [0.158, 0.233, 0.838], [0.214, 0.820, 0.036], [0.228, 0.375, 0.114], [0.244, 0.594, 0.081], [0.250, 0.162, 0.205], [0.250, 0.662, 0.705], [0.256, 0.094, 0.581], [0.272, 0.875, 0.614], [0.286, 0.320, 0.536], [0.342, 0.733, 0.338], [0.451, 0.350, 0.266], [0.476, 0.118, 0.363], [0.524, 0.882, 0.363], [0.549, 0.650, 0.266], [0.658, 0.267, 0.338], [0.714, 0.680, 0.536], [0.728, 0.125, 0.614], [0.744, 0.906, 0.581], [0.750, 0.338, 0.705], [0.750, 0.838, 0.205], [0.756, 0.406, 0.081], [0.772, 0.625, 0.114], [0.786, 0.180, 0.036], [0.842, 0.767, 0.838], [0.951, 0.150, 0.766], [0.976, 0.382, 0.863]]
}


(6)
{
  "formula": "SbIO3",
  "functional": "GGA-PBEsol",
  "state": "optimized geometry",
  "e_tot_ev_per_fu": -24.05,
  "cell": [[4.119, 0.000, 0.000], [0.000, 4.119, 0.000], [0.000, 0.000, 4.119]],
  "species": ["Sb", "I", "O", "O", "O"],
  "fractional_positions": [[0.000, 0.000, 0.000], [0.500, 0.500, 0.500], [0.000, 0.000, 0.500], [0.000, 0.500, 0.000], [0.500, 0.000, 0.000]]
}


(7)
{
  "formula": "Sb5IO7",
  "functional": "GGA-PBEsol",
  "state": "optimized geometry",
  "relative_energy_kj_per_mol_atoms": 1.62,
  "e_tot_ev_per_fu": -77.02,
  "cell": [[6.713, 0.000, 0.000], [-3.357, 5.814, 0.000], [0.000, 0.000, 12.380]],
  "species": ["Sb", "Sb", "Sb", "Sb", "Sb", "Sb", "Sb", "Sb", "Sb", "Sb", "I", "I", "O", "O", "O", "O", "O", "O", "O", "O", "O", "O", "O", "O", "O", "O"],
  "fractional_positions": [[0.033, 0.353, 0.250], [0.320, 0.967, 0.250], [0.333, 0.667, 0.542], [0.333, 0.667, 0.958], [0.353, 0.033, 0.750], [0.647, 0.680, 0.250], [0.667, 0.333, 0.042], [0.667, 0.333, 0.458], [0.680, 0.647, 0.750], [0.967, 0.320, 0.750], [0.000, 0.000, 0.000], [0.000, 0.000, 0.500], [0.055, 0.559, 0.637], [0.055, 0.559, 0.863], [0.333, 0.667, 0.250], [0.441, 0.496, 0.637], [0.441, 0.496, 0.863], [0.496, 0.441, 0.137], [0.496, 0.441, 0.363], [0.504, 0.945, 0.637], [0.504, 0.945, 0.863], [0.559, 0.055, 0.137], [0.559, 0.055, 0.363], [0.667, 0.333, 0.750], [0.945, 0.504, 0.137], [0.945, 0.504, 0.363]]
}


(8)
{
  "formula": "Sb5IO7",
  "functional": "GGA-PBEsol",
  "state": "optimized geometry",
  "relative_energy_kj_per_mol_atoms": 0.00,
  "e_tot_ev_per_fu": -77.24,
  "cell": [[6.681, 0.000, 0.000], [0.000, 12.509, 0.000], [-6.447, 0.000, 11.410]],
  "species": ["Sb", "Sb", "Sb", "Sb", "Sb", "Sb", "Sb", "Sb", "Sb", "Sb", "Sb", "Sb", "Sb", "Sb", "Sb", "Sb", "Sb", "Sb", "Sb", "Sb", "I", "I", "I", "I", "O", "O", "O", "O", "O", "O", "O", "O", "O", "O", "O", "O", "O", "O", "O", "O", "O", "O", "O", "O", "O", "O", "O", "O", "O", "O", "O", "O"],
  "fractional_positions": [[0.048, 0.240, 0.451], [0.048, 0.260, 0.951], [0.292, 0.536, 0.548], [0.292, 0.964, 0.048], [0.321, 0.735, 0.383], [0.321, 0.765, 0.883], [0.324, 0.550, 0.068], [0.324, 0.950, 0.568], [0.349, 0.249, 0.765], [0.349, 0.251, 0.265], [0.651, 0.749, 0.735], [0.651, 0.751, 0.235], [0.676, 0.050, 0.432], [0.676, 0.450, 0.932], [0.679, 0.235, 0.117], [0.679, 0.265, 0.617], [0.708, 0.036, 0.952], [0.708, 0.464, 0.452], [0.952, 0.740, 0.049], [0.952, 0.760, 0.549], [0.086, 0.002, 0.266], [0.086, 0.498, 0.766], [0.914, 0.502, 0.234], [0.914, 0.998, 0.734], [0.003, 0.609, 0.981], [0.003, 0.891, 0.481], [0.105, 0.676, 0.477], [0.105, 0.824, 0.977], [0.353, 0.248, 0.607], [0.353, 0.252, 0.107], [0.374, 0.657, 0.196], [0.374, 0.843, 0.696], [0.463, 0.598, 0.470], [0.463, 0.902, 0.970], [0.477, 0.675, 0.029], [0.477, 0.825, 0.529], [0.486, 0.611, 0.698], [0.486, 0.889, 0.198], [0.514, 0.111, 0.802], [0.514, 0.389, 0.302], [0.523, 0.175, 0.471], [0.523, 0.325, 0.971], [0.537, 0.098, 0.030], [0.537, 0.402, 0.530], [0.626, 0.157, 0.304], [0.626, 0.343, 0.804], [0.647, 0.748, 0.893], [0.647, 0.752, 0.393], [0.895, 0.176, 0.023], [0.895, 0.324, 0.523], [0.997, 0.109, 0.519], [0.997, 0.391, 0.019]]
}